Here is In3Pb5I12 after structural relaxation from Alexandria. Energies are from PBE.

Computed properties:
The total DFT energy (no corrections) is -2.712 eV/atom. The total magnetization comes out at 0.000 Bohr magnetons per cell. The value obtained for the volume is 49.47 Å³ per atom. The space group is Ia-3d. The value obtained for the energy relative to the elements, uncorrected is -0.4445 eV per atom.

Cell: 17.259 17.259 17.259 Å, 109.47 109.47 109.47°
Atoms (fractional coordinates):
In 0.125 0.250 0.375
In 0.125 0.375 0.750
In 0.250 0.375 0.125
In 0.250 0.875 0.625
In 0.375 0.125 0.250
In 0.375 0.750 0.125
In 0.625 0.250 0.875
In 0.625 0.875 0.750
In 0.750 0.125 0.375
In 0.750 0.625 0.875
In 0.875 0.625 0.250
In 0.875 0.750 0.625
Pb 0.000 0.000 0.000
Pb 0.000 0.000 0.500
Pb 0.000 0.500 0.000
Pb 0.000 0.500 0.500
Pb 0.125 0.750 0.875
Pb 0.125 0.875 0.250
Pb 0.250 0.125 0.875
Pb 0.250 0.625 0.375
Pb 0.375 0.250 0.625
Pb 0.375 0.625 0.750
Pb 0.500 0.000 0.000
Pb 0.500 0.000 0.500
Pb 0.500 0.500 0.000
Pb 0.500 0.500 0.500
Pb 0.625 0.375 0.250
Pb 0.625 0.750 0.375
Pb 0.750 0.375 0.625
Pb 0.750 0.875 0.125
Pb 0.875 0.125 0.750
Pb 0.875 0.250 0.125
I 0.042 0.215 0.123
I 0.042 0.327 0.919
I 0.081 0.623 0.408
I 0.081 0.958 0.673
I 0.092 0.715 0.673
I 0.092 0.877 0.419
I 0.123 0.042 0.215
I 0.123 0.581 0.908
I 0.173 0.215 0.592
I 0.173 0.458 0.581
I 0.215 0.123 0.042
I 0.215 0.592 0.173
I 0.285 0.327 0.908
I 0.285 0.458 0.377
I 0.327 0.908 0.285
I 0.327 0.919 0.042
I 0.377 0.285 0.458
I 0.377 0.592 0.919
I 0.408 0.081 0.623
I 0.408 0.827 0.785
I 0.419 0.092 0.877
I 0.419 0.827 0.542
I 0.458 0.377 0.285
I 0.458 0.581 0.173
I 0.542 0.419 0.827
I 0.542 0.623 0.715
I 0.581 0.173 0.458
I 0.581 0.908 0.123
I 0.592 0.173 0.215
I 0.592 0.919 0.377
I 0.623 0.408 0.081
I 0.623 0.715 0.542
I 0.673 0.081 0.958
I 0.673 0.092 0.715
I 0.715 0.542 0.623
I 0.715 0.673 0.092
I 0.785 0.408 0.827
I 0.785 0.877 0.958
I 0.827 0.542 0.419
I 0.827 0.785 0.408
I 0.877 0.419 0.092
I 0.877 0.958 0.785
I 0.908 0.123 0.581
I 0.908 0.285 0.327
I 0.919 0.042 0.327
I 0.919 0.377 0.592
I 0.958 0.673 0.081
I 0.958 0.785 0.877



Here is In5PbI8 after structural relaxation from Alexandria. Energies are from PBE.

Computed properties:
The total DFT energy (no corrections) is -2.565 eV/atom. The total magnetization comes out at 0.000 Bohr magnetons per cell. The value obtained for the volume is 39.22 Å³ per atom. The space group is I-4. The value obtained for the energy relative to the elements, uncorrected is -0.4362 eV per atom.

Cell: 8.936 8.936 8.936 Å, 108.81 108.81 110.81°
Atoms (fractional coordinates):
In 0.000 0.000 0.000
In 0.115 0.209 0.580
In 0.464 0.885 0.094
In 0.629 0.536 0.420
In 0.791 0.371 0.906
Pb 0.250 0.750 0.500
I 0.015 0.627 0.745
I 0.254 0.510 0.133
I 0.373 0.118 0.387
I 0.376 0.121 0.867
I 0.490 0.624 0.744
I 0.730 0.985 0.613
I 0.879 0.746 0.256
I 0.882 0.270 0.255



Here is InPb2I6 after structural relaxation from Alexandria. Energies are from PBE.

Computed properties:
The total DFT energy (no corrections) is -2.684 eV/atom. The total magnetization comes out at 0.000 Bohr magnetons per cell. The value obtained for the volume is 45.93 Å³ per atom. The space group is P4_2/mnm. The value obtained for the energy relative to the elements, uncorrected is -0.5221 eV per atom.

Cell: 7.622 7.622 14.230 Å, 90.00 90.00 90.00°
Atoms (fractional coordinates):
In 0.000 0.000 0.000
In 0.500 0.500 0.500
Pb 0.000 0.000 0.334
Pb 0.000 0.000 0.666
Pb 0.500 0.500 0.166
Pb 0.500 0.500 0.834
I 0.199 0.199 0.160
I 0.199 0.199 0.840
I 0.206 0.206 0.500
I 0.294 0.706 0.000
I 0.301 0.699 0.340
I 0.301 0.699 0.660
I 0.699 0.301 0.340
I 0.699 0.301 0.660
I 0.706 0.294 0.000
I 0.794 0.794 0.500
I 0.801 0.801 0.160
I 0.801 0.801 0.840



Here is In2PbI4 after structural relaxation from Alexandria. Energies are from PBE.

Computed properties:
The total DFT energy (no corrections) is -2.718 eV/atom. The total magnetization comes out at 0.000 Bohr magnetons per cell. The energy above the most stable polymorph in this dataset comes out at 2 meV/atom. The value obtained for the volume is 47.05 Å³ per atom. The space group is C2/m. The value obtained for the energy relative to the elements, uncorrected is -0.5196 eV per atom.

Cell: 8.871 8.871 9.341 Å, 117.56 117.56 30.71°
Atoms (fractional coordinates):
In 0.214 0.214 0.189
In 0.786 0.786 0.811
Pb 0.500 0.500 0.500
I 0.134 0.134 0.502
I 0.385 0.385 0.103
I 0.615 0.615 0.897
I 0.866 0.866 0.498



Here is InPb4I8 after structural relaxation from Alexandria. Energies are from PBE.

Computed properties:
The total DFT energy (no corrections) is -2.823 eV/atom. The total magnetization comes out at 0.000 Bohr magnetons per cell. The energy above the most stable polymorph in this dataset comes out at 0 meV/atom. The value obtained for the volume is 47.55 Å³ per atom. The space group is R-3m. The value obtained for the energy relative to the elements, uncorrected is -0.5176 eV per atom.

Cell: 9.443 9.443 9.443 Å, 61.70 61.70 61.70°
Atoms (fractional coordinates):
In 0.000 0.000 0.000
Pb 0.000 0.000 0.500
Pb 0.000 0.500 0.000
Pb 0.500 0.000 0.000
Pb 0.500 0.500 0.500
I 0.243 0.243 0.243
I 0.246 0.743 0.743
I 0.257 0.257 0.754
I 0.257 0.754 0.257
I 0.743 0.246 0.743
I 0.743 0.743 0.246
I 0.754 0.257 0.257
I 0.757 0.757 0.757



Here is In2PbI after structural relaxation from Alexandria. Energies are from PBE.

Computed properties:
The total DFT energy (no corrections) is -2.750 eV/atom. The total magnetization comes out at 0.000 Bohr magnetons per cell. The energy above the most stable polymorph in this dataset comes out at 0 meV/atom. The value obtained for the volume is 32.40 Å³ per atom. The space group is P4/mmm. The value obtained for the energy relative to the elements, uncorrected is -0.0662 eV per atom.

Cell: 5.887 5.887 3.740 Å, 90.00 90.00 90.00°
Atoms (fractional coordinates):
In 0.000 0.500 0.000
In 0.500 0.000 0.000
Pb 0.000 0.000 0.500
I 0.500 0.500 0.500



Here is In3PbI6 after structural relaxation from Alexandria. Energies are from PBE.

Computed properties:
The total DFT energy (no corrections) is -2.576 eV/atom. The total magnetization comes out at 0.000 Bohr magnetons per cell. The value obtained for the volume is 46.07 Å³ per atom. The space group is R-3. The value obtained for the energy relative to the elements, uncorrected is -0.4538 eV per atom.

Cell: 9.734 9.734 9.734 Å, 91.53 91.53 91.53°
Atoms (fractional coordinates):
In 0.069 0.740 0.587
In 0.260 0.413 0.931
In 0.413 0.931 0.260
In 0.587 0.069 0.740
In 0.740 0.587 0.069
In 0.931 0.260 0.413
Pb 0.000 0.000 0.000
Pb 0.500 0.500 0.500
I 0.032 0.679 0.914
I 0.086 0.968 0.321
I 0.194 0.393 0.592
I 0.321 0.086 0.968
I 0.393 0.592 0.194
I 0.408 0.806 0.607
I 0.592 0.194 0.393
I 0.607 0.408 0.806
I 0.679 0.914 0.032
I 0.806 0.607 0.408
I 0.914 0.032 0.679
I 0.968 0.321 0.086



Here is In2PbI after structural relaxation from Alexandria. Energies are from PBE.

Computed properties:
The total DFT energy (no corrections) is -2.638 eV/atom. The total magnetization comes out at 0.000 Bohr magnetons per cell. The energy above the most stable polymorph in this dataset comes out at 112 meV/atom. The value obtained for the volume is 31.88 Å³ per atom. The space group is Fm-3m. The value obtained for the energy relative to the elements, uncorrected is 0.0454 eV per atom.

Cell: 5.650 5.650 5.650 Å, 60.00 60.00 60.00°
Atoms (fractional coordinates):
In 0.250 0.250 0.250
In 0.750 0.750 0.750
Pb 0.000 0.000 0.000
I 0.500 0.500 0.500



Here is In2PbI after structural relaxation from Alexandria. Energies are from PBE.

Computed properties:
The total DFT energy (no corrections) is -2.714 eV/atom. The total magnetization comes out at 0.000 Bohr magnetons per cell. The energy above the most stable polymorph in this dataset comes out at 36 meV/atom. The value obtained for the volume is 32.76 Å³ per atom. The space group is R3m. The value obtained for the energy relative to the elements, uncorrected is -0.0298 eV per atom.

Cell: 10.199 10.199 10.199 Å, 22.05 22.05 22.05°
Atoms (fractional coordinates):
In 0.000 0.000 0.000
In 0.165 0.165 0.165
Pb 0.584 0.584 0.584
I 0.414 0.414 0.414



Here is In2PbI6 after structural relaxation from Alexandria. Energies are from PBE.

Computed properties:
The total DFT energy (no corrections) is -2.555 eV/atom. The total magnetization comes out at 0.000 Bohr magnetons per cell. The energy above the most stable polymorph in this dataset comes out at 0 meV/atom. The value obtained for the volume is 45.16 Å³ per atom. The space group is R3. The value obtained for the energy relative to the elements, uncorrected is -0.5008 eV per atom.

Cell: 8.400 8.400 8.400 Å, 58.67 58.67 58.67°
Atoms (fractional coordinates):
In 0.000 0.000 0.000
In 0.199 0.199 0.199
Pb 0.807 0.807 0.807
I 0.121 0.764 0.353
I 0.226 0.665 0.842
I 0.353 0.121 0.764
I 0.665 0.842 0.226
I 0.764 0.353 0.121
I 0.842 0.226 0.665



Here is InPbI4 after structural relaxation from Alexandria. Energies are from PBE.

Computed properties:
The total DFT energy (no corrections) is -2.615 eV/atom. The total magnetization comes out at 0.000 Bohr magnetons per cell. The value obtained for the volume is 44.79 Å³ per atom. The space group is C2/m. The value obtained for the energy relative to the elements, uncorrected is -0.5071 eV per atom.

Cell: 8.728 8.728 7.991 Å, 116.64 116.64 29.90°
Atoms (fractional coordinates):
In 0.000 0.000 0.000
Pb 0.500 0.500 0.500
I 0.125 0.125 0.447
I 0.376 0.376 0.041
I 0.624 0.624 0.959
I 0.875 0.875 0.553



Here is In2PbI6 after structural relaxation from Alexandria. Energies are from PBE.

Computed properties:
The total DFT energy (no corrections) is -2.515 eV/atom. The total magnetization comes out at 0.000 Bohr magnetons per cell. The energy above the most stable polymorph in this dataset comes out at 40 meV/atom. The value obtained for the volume is 55.28 Å³ per atom. The space group is C2/c. The value obtained for the energy relative to the elements, uncorrected is -0.4610 eV per atom.

Cell: 10.523 10.523 9.875 Å, 107.28 107.28 88.10°
Atoms (fractional coordinates):
In 0.088 0.283 0.249
In 0.283 0.088 0.749
In 0.717 0.912 0.251
In 0.912 0.717 0.751
Pb 0.425 0.575 0.750
Pb 0.575 0.425 0.250
I 0.128 0.147 0.960
I 0.135 0.538 0.762
I 0.147 0.128 0.460
I 0.300 0.504 0.380
I 0.462 0.865 0.738
I 0.496 0.700 0.120
I 0.504 0.300 0.880
I 0.538 0.135 0.262
I 0.700 0.496 0.620
I 0.853 0.872 0.540
I 0.865 0.462 0.238
I 0.872 0.853 0.040



Look up the total DFT energy (no corrections) of the eighth one. -2.638 eV/atom



Repeat the eleventh record exactly.
Here is InPbI4 after structural relaxation from Alexandria. Energies are from PBE.

Computed properties:
The total DFT energy (no corrections) is -2.615 eV/atom. The total magnetization comes out at 0.000 Bohr magnetons per cell. The value obtained for the volume is 44.79 Å³ per atom. The space group is C2/m. The value obtained for the energy relative to the elements, uncorrected is -0.5071 eV per atom.

Cell: 8.728 8.728 7.991 Å, 116.64 116.64 29.90°
Atoms (fractional coordinates):
In 0.000 0.000 0.000
Pb 0.500 0.500 0.500
I 0.125 0.125 0.447
I 0.376 0.376 0.041
I 0.624 0.624 0.959
I 0.875 0.875 0.553



The highest energy relative to the elements, uncorrected belongs to which entry? number 8



Among the records above, which one has the highest volume? number 12